(1)
The following is a DFT calculation (SCAN) of a PBEsol-optimized structure of Y2InCuSi.

The structure in POSCAR format:
```
Y2InCuSi
1.0
4.279 0.000 0.000
0.000 5.250 0.000
0.000 0.000 5.250
Y Cu Si In
2 1 1 1
direct
0.000 0.000 0.500
0.000 0.500 0.000
0.000 0.000 0.000
0.500 0.000 0.000
0.500 0.500 0.500
```

Results
E, eV per atom: -23.07
ΔE_f (raw), kJ/mol of formula units: -104
Magnetization, Bohr magnetons per cell: 0.00

(2)
The following is a DFT calculation (SCAN) of a PBEsol-optimized structure of SmIn6Cu6.

The structure in POSCAR format:
```
SmIn6Cu6
1.0
-2.870 -4.499 -0.302
3.535 -5.583 2.277
-3.621 -1.257 5.845
In Cu Sm
6 6 1
direct
0.657 0.343 0.343
0.343 0.657 0.657
0.000 0.662 0.338
0.000 0.338 0.662
0.684 0.816 0.816
0.316 0.184 0.184
0.500 0.236 0.764
0.500 0.764 0.236
0.500 0.500 0.000
0.500 0.000 0.500
0.000 0.500 0.000
0.000 0.000 0.500
0.000 0.000 0.000
```

Results
Formation energy, eV/atom: -0.187
E, eV per atom: -26.03
Magnetization, Bohr magnetons per cell: 0.00

(3)
The following is a DFT calculation (SCAN) of a PBEsol-optimized structure of SrInCu.

The structure in POSCAR format:
```
SrInCu
1.0
-2.073 0.095 -3.545
1.057 -4.444 -0.737
-3.864 1.110 2.290
Sr Cu In
1 1 1
direct
0.500 0.667 0.333
0.000 0.000 0.000
0.000 0.333 0.667
```

Results
Formation energy, eV/atom: -0.306
E, eV per atom: -23.93
Magnetization, Bohr magnetons per cell: 0.00

(4)
The following is a DFT calculation (SCAN) of a PBEsol-optimized structure of SrTaIn2Cu.

The structure in POSCAR format:
```
SrTaIn2Cu
1.0
5.339 0.000 0.000
0.000 5.339 0.000
0.000 0.000 5.533
In Ta Cu Sr
2 1 1 1
direct
0.500 0.000 0.000
0.000 0.500 0.000
0.000 0.000 0.000
0.500 0.500 0.500
0.000 0.000 0.500
```

Results
Formation energy, eV/atom: 1.127
E, eV per atom: -33.04
Magnetization, Bohr magnetons per cell: 0.00

(5)
The following is a DFT calculation (SCAN) of a PBEsol-optimized structure of TaIn2Cu.

The structure in POSCAR format:
```
TaIn2Cu
1.0
-3.227 1.137 -0.162
-1.003 -3.256 -2.885
0.947 -1.746 5.096
In Ta Cu
2 1 1
direct
0.271 0.271 0.542
0.729 0.729 0.458
0.500 0.000 0.000
0.000 0.500 0.000
```

Results
Formation energy, eV/atom: 0.363
E, eV per atom: -36.78
Magnetization, Bohr magnetons per cell: 0.00

(6)
The following is a DFT calculation (SCAN) of a PBEsol-optimized structure of TaIn2Cu.

The structure in POSCAR format:
```
TaIn2Cu
1.0
3.025 0.000 0.000
1.513 2.620 0.000
1.513 0.873 9.152
In Cu Ta
2 1 1
direct
0.756 0.756 0.733
0.244 0.244 0.267
0.500 0.500 0.500
0.000 0.000 0.000
```

Results
Formation energy, eV/atom: 0.237
E, eV per atom: -36.90
Magnetization, Bohr magnetons per cell: 0.00

(7)
The following is a DFT calculation (SCAN) of a PBEsol-optimized structure of TaInCu2W.

The structure in POSCAR format:
```
TaInCu2W
1.0
4.396 0.000 0.000
0.000 4.396 0.000
0.000 0.000 5.077
Ta W Cu In
1 1 2 1
direct
0.000 0.000 0.500
0.500 0.500 0.500
0.500 0.000 0.000
0.000 0.500 0.000
0.000 0.000 0.000
```

Results
Formation energy, eV/atom: 1.979
E, eV per atom: -38.03
Magnetization, Bohr magnetons per cell: 0.71

(8)
The following is a DFT calculation (SCAN) of a PBEsol-optimized structure of TaZnIn2Cu.

The structure in POSCAR format:
```
TaZnIn2Cu
1.0
-2.262 1.249 3.893
-3.539 -2.826 -1.150
2.127 -3.643 2.405
Zn Ta In Cu
1 1 2 1
direct
0.500 0.500 0.500
0.000 0.000 0.500
0.000 0.500 0.000
0.500 0.000 0.000
0.000 0.000 0.000
```

Results
Formation energy, eV/atom: 0.792
E, eV per atom: -31.62
Magnetization, Bohr magnetons per cell: 0.00

Q: Which value of E does entry 2 give?
A: -26.03 eV per atom